Sm2CoHg PBE optimized geometry; spin magnetization = 2.13 Bohr magnetons per cell; formation energy = -0.162 eV per atom; E above lowest polymorph = 2.062 kcal/mol of atoms; SG = Fm-3m; calculated density = 9.69 g cm⁻³
1.0
7.269 0.000 0.000
0.000 7.269 0.000
0.000 0.000 7.269
Sm Co Hg
8 4 4
direct
0.250 0.250 0.250
0.250 0.250 0.750
0.250 0.750 0.250
0.250 0.750 0.750
0.750 0.250 0.250
0.750 0.250 0.750
0.750 0.750 0.250
0.750 0.750 0.750
0.000 0.000 0.000
0.000 0.500 0.500
0.500 0.000 0.500
0.500 0.500 0.000
0.000 0.000 0.500
0.000 0.500 0.000
0.500 0.000 0.000
0.500 0.500 0.500


Sm7Co2Hg PBE optimized geometry; spin magnetization = 0.00 Bohr magnetons per cell; formation energy = 0.009 eV per atom; SG = Cmmm; calculated density = 7.39 g cm⁻³
1.0
4.569 -6.726 0.000
4.569 6.726 0.000
0.000 0.000 5.013
Sm Co Hg
7 2 1
direct
0.000 0.000 0.000
0.188 0.449 0.000
0.202 0.798 0.500
0.449 0.188 0.000
0.551 0.812 0.000
0.798 0.202 0.500
0.812 0.551 0.000
0.203 0.797 0.000
0.797 0.203 0.000
0.500 0.500 0.500


Sm6CoHg PBE optimized geometry; spin magnetization = 0.00 Bohr magnetons per cell; formation energy = -0.008 eV per atom; SG = C2/m; calculated density = 7.64 g cm⁻³
1.0
7.486 0.000 0.000
0.000 10.687 0.000
-1.768 0.000 6.311
Sm Co Hg
12 2 2
direct
0.164 0.183 0.258
0.164 0.817 0.258
0.234 0.500 0.176
0.266 0.000 0.824
0.336 0.317 0.742
0.336 0.683 0.742
0.664 0.317 0.258
0.664 0.683 0.258
0.734 0.000 0.176
0.766 0.500 0.824
0.836 0.183 0.742
0.836 0.817 0.742
0.000 0.000 0.000
0.500 0.500 0.000
0.000 0.500 0.500
0.500 0.000 0.500


Sm8CoHg2 PBE optimized geometry; spin magnetization = 0.00 Bohr magnetons per cell; formation energy = -0.158 eV per atom; E above lowest polymorph = 0.092 kcal/mol of atoms; SG = Cm; calculated density = 8.46 g cm⁻³
1.0
3.872 -8.045 0.000
3.872 8.045 0.000
-3.464 0.000 5.237
Sm Co Hg
8 1 2
direct
0.000 0.000 0.000
0.058 0.451 0.210
0.097 0.878 0.508
0.411 0.631 0.879
0.451 0.058 0.210
0.537 0.537 0.391
0.631 0.411 0.879
0.878 0.097 0.508
0.259 0.259 0.498
0.543 0.974 0.704
0.974 0.543 0.704


Sm4CoHg2 PBE optimized geometry; spin magnetization = 0.00 Bohr magnetons per cell; formation energy = -0.239 eV per atom; E above lowest polymorph = 0.000 kcal/mol of atoms; SG = C2/m; calculated density = 8.74 g cm⁻³
1.0
16.836 0.000 0.000
0.000 3.955 0.000
-2.520 0.000 6.058
Sm Co Hg
8 2 4
direct
0.097 0.000 0.254
0.098 0.500 0.761
0.402 0.000 0.239
0.403 0.500 0.746
0.597 0.500 0.254
0.598 0.000 0.761
0.902 0.500 0.239
0.903 0.000 0.746
0.000 0.000 0.500
0.500 0.500 0.500
0.248 0.500 0.260
0.252 0.000 0.740
0.748 0.000 0.260
0.752 0.500 0.740


Sm5CoHg2 PBE optimized geometry; spin magnetization = 0.00 Bohr magnetons per cell; formation energy = 0.006 eV per atom; E above lowest polymorph = 6.665 kcal/mol of atoms; SG = Cmcm; calculated density = 7.40 g cm⁻³
1.0
2.703 -8.082 0.000
2.703 8.082 0.000
0.000 0.000 12.449
Sm Co Hg
10 2 4
direct
0.075 0.925 0.604
0.075 0.925 0.896
0.300 0.700 0.250
0.305 0.695 0.583
0.305 0.695 0.917
0.695 0.305 0.083
0.695 0.305 0.417
0.700 0.300 0.750
0.925 0.075 0.104
0.925 0.075 0.396
0.194 0.806 0.750
0.806 0.194 0.250
0.116 0.884 0.135
0.116 0.884 0.365
0.884 0.116 0.635
0.884 0.116 0.865


Sm7Co2Hg2 PBE optimized geometry; spin magnetization = 0.00 Bohr magnetons per cell; formation energy = -0.210 eV per atom; E above lowest polymorph = 0.000 kcal/mol of atoms; SG = Imm2; calculated density = 8.66 g cm⁻³
1.0
-1.852 8.267 4.923
1.852 -8.267 4.923
1.852 8.267 -4.923
Sm Co Hg
7 2 2
direct
0.000 0.000 0.000
0.069 0.385 0.685
0.084 0.732 0.352
0.380 0.732 0.648
0.444 0.579 0.864
0.700 0.385 0.315
0.715 0.579 0.136
0.320 0.082 0.238
0.844 0.082 0.762
0.339 0.339 0.000
0.734 0.234 0.500


Sm12Co6Hg PBE optimized geometry; spin magnetization = 0.00 Bohr magnetons per cell; formation energy = -0.168 eV per atom; SG = Im-3; calculated density = 8.18 g cm⁻³
1.0
-4.927 4.927 4.927
4.927 -4.927 4.927
4.927 4.927 -4.927
Sm Co Hg
12 6 1
direct
0.111 0.806 0.304
0.194 0.304 0.498
0.194 0.696 0.889
0.304 0.111 0.806
0.304 0.498 0.194
0.498 0.194 0.304
0.502 0.806 0.696
0.696 0.502 0.806
0.696 0.889 0.194
0.806 0.304 0.111
0.806 0.696 0.502
0.889 0.194 0.696
0.112 0.612 0.500
0.388 0.500 0.888
0.500 0.112 0.612
0.500 0.888 0.388
0.612 0.500 0.112
0.888 0.388 0.500
0.000 0.000 0.000